# 1
! Ta2BeV | the Alexandria database | PBE-GGA | relaxed; values from VASP
&SYSTEM
  ibrav = 0, nat = 4, ntyp = 3
/
ATOMIC_SPECIES
Ta 180.95 Ta.upf
Be 9.01 Be.upf
V 50.94 V.upf
ATOMIC_POSITIONS angstrom
Ta 0.000 0.000 1.411
Ta 0.000 0.000 4.420
Be 1.589 1.589 0.000
V 1.589 1.589 2.916
CELL_PARAMETERS angstrom
3.179 0.000 0.000
0.000 3.179 0.000
0.000 0.000 5.832
! DFT formation energy: 0.002 eV per atom
! density of states at the Fermi level: 3.59 states/eV/f.u.
! crystal system: tetragonal
! space group: P4/mmm (123)
! total magnetic moment: 0.0 μB per formula unit

# 2
! TlC2 | the Alexandria database | PBE-GGA | relaxed; values from VASP
&SYSTEM
  ibrav = 0, nat = 6, ntyp = 2
/
ATOMIC_SPECIES
Tl 204.38 Tl.upf
C 12.01 C.upf
ATOMIC_POSITIONS angstrom
Tl 0.000 0.000 0.000
Tl 0.000 0.000 4.025
C 0.000 2.146 1.372
C 0.000 2.146 2.653
C 1.858 1.073 5.397
C 1.858 1.073 6.678
CELL_PARAMETERS angstrom
3.717 0.000 0.000
-1.858 3.219 0.000
0.000 0.000 8.050
! DFT formation energy: 1.351 eV per atom
! density of states at the Fermi level: 0.65 states/eV/f.u.
! crystal system: hexagonal
! space group: P6_3/mmc (194)
! total magnetic moment: 0.0 μB per formula unit

# 3
! Pr3TeO6 | the Alexandria database | PBE-GGA | relaxed; values from VASP
&SYSTEM
  ibrav = 0, nat = 20, ntyp = 3
/
ATOMIC_SPECIES
Pr 140.91 Pr.upf
Te 127.60 Te.upf
O 16.00 O.upf
ATOMIC_POSITIONS angstrom
Pr 4.703 4.727 2.955
Pr 2.831 1.267 2.612
Pr 2.831 -1.267 5.567
Pr 6.576 1.267 2.612
Pr 6.576 -1.267 5.567
Pr 4.703 -4.727 0.000
Te 4.703 1.888 5.579
Te 4.703 -1.888 2.624
O 3.355 3.064 4.479
O 1.505 0.186 4.265
O 1.505 -0.186 1.310
O 4.703 2.672 1.740
O 6.051 3.064 4.479
O 4.703 0.337 4.090
O 4.703 -0.337 1.135
O 3.355 -3.064 1.524
O 4.703 -2.672 4.695
O 7.901 0.186 4.265
O 7.901 -0.186 1.310
O 6.051 -3.064 1.524
CELL_PARAMETERS angstrom
4.703 -5.913 0.000
4.703 5.913 0.000
0.000 0.000 5.910
! density of states at the Fermi level: 3.01 states/eV/f.u.
! crystal system: orthorhombic
! total DFT energy (no corrections): -7.352 eV/atom
! space group: Cmc2_1 (36)
! total magnetic moment: 0.2 μB per formula unit

# 4
! Y5Rh4Au | the Alexandria database | PBE-GGA | relaxed; values from VASP
&SYSTEM
  ibrav = 0, nat = 10, ntyp = 3
/
ATOMIC_SPECIES
Y 88.91 Y.upf
Rh 102.91 Rh.upf
Au 196.97 Au.upf
ATOMIC_POSITIONS angstrom
Y 0.000 0.000 0.000
Y 0.000 0.000 3.440
Y 0.000 0.000 6.860
Y 0.000 0.000 10.733
Y 0.000 0.000 14.153
Rh 1.726 1.726 1.723
Rh 1.726 1.726 5.178
Rh 1.726 1.726 12.415
Rh 1.726 1.726 15.871
Au 1.726 1.726 8.797
CELL_PARAMETERS angstrom
3.452 0.000 0.000
0.000 3.452 0.000
0.000 0.000 17.594
! DFT formation energy: -0.840 eV per atom
! density of states at the Fermi level: 8.14 states/eV/f.u.
! crystal system: tetragonal
! space group: P4/mmm (123)
! total magnetic moment: 0.0 μB per formula unit

# 5
! CdPtF5 | the Alexandria database | PBE-GGA | relaxed; values from VASP
&SYSTEM
  ibrav = 0, nat = 14, ntyp = 3
/
ATOMIC_SPECIES
Cd 112.41 Cd.upf
Pt 195.08 Pt.upf
F 19.00 F.upf
ATOMIC_POSITIONS angstrom
Cd 1.756 2.943 5.742
Cd 3.619 -2.943 1.914
Pt 4.551 0.000 0.000
Pt 2.687 0.000 3.828
F 4.006 1.922 0.160
F 1.090 0.506 2.745
F 3.232 1.922 3.668
F -0.774 -0.506 6.573
F 1.756 0.638 5.742
F 3.619 -0.638 1.914
F 6.148 0.506 1.083
F 2.142 -1.922 3.988
F 4.285 -0.506 4.911
F 1.369 -1.922 7.497
CELL_PARAMETERS angstrom
4.551 -3.145 0.000
4.551 3.145 0.000
-3.727 0.000 7.656
! crystal system: monoclinic
! total DFT energy (no corrections): -3.913 eV/atom
! space group: C2/c (15)
! total magnetic moment: 0.0 μB per formula unit

# 6
! BaMoCl | the Alexandria database | PBE-GGA | relaxed; values from VASP
&SYSTEM
  ibrav = 0, nat = 6, ntyp = 3
/
ATOMIC_SPECIES
Ba 137.33 Ba.upf
Mo 95.94 Mo.upf
Cl 35.45 Cl.upf
ATOMIC_POSITIONS angstrom
Ba 0.000 0.000 0.000
Ba -1.827 0.000 5.813
Mo 2.921 0.000 2.496
Mo 6.007 0.000 2.449
Cl 0.919 0.000 7.672
Cl 4.487 0.000 4.482
CELL_PARAMETERS angstrom
4.473 -1.981 0.000
4.473 1.981 0.000
-3.875 0.000 10.453
! density of states at the Fermi level: 1.62 states/eV/f.u.
! crystal system: monoclinic
! total DFT energy (no corrections): -5.406 eV/atom
! space group: Cm (8)
! total magnetic moment: 0.0 μB per formula unit

# 7
! CaHN2 | the Alexandria database | PBE-GGA | relaxed; values from VASP
&SYSTEM
  ibrav = 0, nat = 4, ntyp = 3
/
ATOMIC_SPECIES
Ca 40.08 Ca.upf
H 1.01 H.upf
N 14.01 N.upf
ATOMIC_POSITIONS angstrom
Ca 0.000 0.000 0.000
H 0.000 0.000 5.997
N 0.000 0.000 2.275
N 0.000 0.000 9.719
CELL_PARAMETERS angstrom
1.737 1.003 3.998
-1.737 1.003 3.998
0.000 -2.006 3.998
! density of states at the Fermi level: 0.78 states/eV/f.u.
! crystal system: trigonal
! total DFT energy (no corrections): -4.466 eV/atom
! space group: R-3m (166)
! total magnetic moment: 0.0 μB per formula unit

# 8
! Cs3ZnH6 | the Alexandria database | PBE-GGA | relaxed; values from VASP
&SYSTEM
  ibrav = 0, nat = 10, ntyp = 3
/
ATOMIC_SPECIES
Cs 132.91 Cs.upf
Zn 65.41 Zn.upf
H 1.01 H.upf
ATOMIC_POSITIONS angstrom
Cs 0.000 0.000 0.000
Cs -0.096 0.000 4.008
Cs 7.458 0.000 1.338
Zn 3.681 0.000 2.673
H 4.424 1.286 1.626
H 2.937 1.286 3.720
H 2.263 0.000 1.669
H 5.099 0.000 3.677
H 4.424 -1.286 1.626
H 2.937 -1.286 3.720
CELL_PARAMETERS angstrom
5.617 -3.297 0.000
5.617 3.297 0.000
-3.873 0.000 5.346
! density of states at the Fermi level: 3.94 states/eV/f.u.
! crystal system: monoclinic
! total DFT energy (no corrections): -2.351 eV/atom
! space group: C2/m (12)
! total magnetic moment: 0.9 μB per formula unit